# 1
# BaMg2Cl | the Alexandria database | GGA-PBE | optimized geometry
# D(E_F), states/eV/cell: 2.6
# Space-group type: P2/m (10)
# Formation energy from raw total energies, kJ per mole of atoms: -63
data_BaMg2Cl
_cell_length_a 7.196
_cell_length_b 3.913
_cell_length_c 4.853
_cell_angle_alpha 89.42
_cell_angle_beta 90.00
_cell_angle_gamma 90.00
_space_group_name_H-M_alt 'P 1'
_space_group_IT_number 1
loop_
_space_group_symop_operation_xyz
'x,y,z'
loop_
_atom_site_label
_atom_site_fract_x
_atom_site_fract_y
_atom_site_fract_z
Mg1 0.000 0.994 0.002
Mg2 0.000 0.506 0.498
Ba1 0.500 0.250 0.250
Cl1 0.500 0.750 0.750

# 2
# CoPt2Pb | the Alexandria database | GGA-PBE | optimized geometry
# D(E_F), states/eV/cell: 4.8
# E, eV per atom: -5.579
# Space-group type: C2/m (12)
data_CoPt2Pb
_cell_length_a 4.803
_cell_length_b 4.803
_cell_length_c 4.625
_cell_angle_alpha 77.08
_cell_angle_beta 77.08
_cell_angle_gamma 41.03
_space_group_name_H-M_alt 'P 1'
_space_group_IT_number 1
loop_
_space_group_symop_operation_xyz
'x,y,z'
loop_
_atom_site_label
_atom_site_fract_x
_atom_site_fract_y
_atom_site_fract_z
Co1 0.750 0.750 0.750
Pb1 0.250 0.250 0.250
Pt1 0.011 0.011 0.974
Pt2 0.489 0.489 0.526

# 3
# Ce2PuSb2N2 | the Alexandria database | GGA-PBE | optimized geometry
# D(E_F), states/eV/cell: 13.4
# Space-group type: C2/m (12)
# Formation energy from raw total energies, kJ per mole of atoms: -111
data_Ce2PuSb2N2
_cell_length_a 4.066
_cell_length_b 6.482
_cell_length_c 7.081
_cell_angle_alpha 66.02
_cell_angle_beta 73.31
_cell_angle_gamma 71.72
_space_group_name_H-M_alt 'P 1'
_space_group_IT_number 1
loop_
_space_group_symop_operation_xyz
'x,y,z'
loop_
_atom_site_label
_atom_site_fract_x
_atom_site_fract_y
_atom_site_fract_z
N1 0.195 0.686 0.923
N2 0.805 0.314 0.077
Sb1 0.562 0.226 0.649
Sb2 0.438 0.774 0.351
Ce1 0.800 0.633 0.766
Ce2 0.200 0.367 0.234
Pu1 0.000 0.000 0.000

# 4
# KPr2I8 | the Alexandria database | GGA-PBE | optimized geometry
# D(E_F), states/eV/cell: 14.7
# Space-group type: C2/m (12)
# Formation energy from raw total energies, kJ per mole of atoms: -118
data_KPr2I8
_cell_length_a 9.002
_cell_length_b 8.086
_cell_length_c 8.086
_cell_angle_alpha 75.39
_cell_angle_beta 81.88
_cell_angle_gamma 81.88
_space_group_name_H-M_alt 'P 1'
_space_group_IT_number 1
loop_
_space_group_symop_operation_xyz
'x,y,z'
loop_
_atom_site_label
_atom_site_fract_x
_atom_site_fract_y
_atom_site_fract_z
I1 0.266 0.559 0.559
I2 0.836 0.772 0.772
I3 0.348 0.051 0.681
I4 0.652 0.319 0.949
I5 0.734 0.441 0.441
I6 0.652 0.949 0.319
I7 0.348 0.681 0.051
I8 0.164 0.228 0.228
Pr1 0.457 0.320 0.320
Pr2 0.543 0.680 0.680
K1 0.000 0.000 0.000

# 5
# Ba2Na5Li2 | the Alexandria database | GGA-PBE | optimized geometry
# D(E_F), states/eV/cell: 6.4
# E, eV per atom: -1.529
# Space-group type: P4/mmm (123)
data_Ba2Na5Li2
_cell_length_a 5.382
_cell_length_b 5.382
_cell_length_c 12.635
_cell_angle_alpha 90.00
_cell_angle_beta 90.00
_cell_angle_gamma 90.00
_space_group_name_H-M_alt 'P 1'
_space_group_IT_number 1
loop_
_space_group_symop_operation_xyz
'x,y,z'
loop_
_atom_site_label
_atom_site_fract_x
_atom_site_fract_y
_atom_site_fract_z
Li1 0.500 0.500 0.884
Li2 0.500 0.500 0.116
Ba1 0.000 0.000 0.000
Ba2 0.000 0.000 0.500
Na1 0.500 0.000 0.263
Na2 0.000 0.500 0.737
Na3 0.000 0.500 0.263
Na4 0.500 0.000 0.737
Na5 0.500 0.500 0.500

# 6
# Cr2C | the Alexandria database | GGA-PBE | optimized geometry
# D(E_F), states/eV/cell: 4.2
# E, eV per atom: -9.507
# Space-group type: Cmc2_1 (36)
data_Cr2C
_cell_length_a 4.525
_cell_length_b 4.525
_cell_length_c 4.719
_cell_angle_alpha 90.00
_cell_angle_beta 90.00
_cell_angle_gamma 144.67
_space_group_name_H-M_alt 'P 1'
_space_group_IT_number 1
loop_
_space_group_symop_operation_xyz
'x,y,z'
loop_
_atom_site_label
_atom_site_fract_x
_atom_site_fract_y
_atom_site_fract_z
Cr1 0.495 0.505 0.781
Cr2 0.221 0.779 0.998
Cr3 0.505 0.495 0.281
Cr4 0.779 0.221 0.498
C1 0.114 0.886 0.554
C2 0.886 0.114 0.054

# 7
# Cs2K2Hg | the Alexandria database | GGA-PBE | optimized geometry
# D(E_F), states/eV/cell: 8.6
# E, eV per atom: -0.914
# Space-group type: I4_1/amd (141)
data_Cs2K2Hg
_cell_length_a 6.567
_cell_length_b 6.567
_cell_length_c 17.213
_cell_angle_alpha 101.00
_cell_angle_beta 101.00
_cell_angle_gamma 90.00
_space_group_name_H-M_alt 'P 1'
_space_group_IT_number 1
loop_
_space_group_symop_operation_xyz
'x,y,z'
loop_
_atom_site_label
_atom_site_fract_x
_atom_site_fract_y
_atom_site_fract_z
K1 0.069 0.569 0.139
K2 0.681 0.681 0.361
K3 0.431 0.931 0.861
K4 0.319 0.319 0.639
Hg1 0.500 0.500 0.000
Hg2 0.250 0.750 0.500
Cs1 0.563 0.063 0.126
Cs2 0.187 0.187 0.374
Cs3 0.813 0.813 0.626
Cs4 0.937 0.437 0.874

# 8
# CaAcPd4Pb2 | the Alexandria database | GGA-PBE | optimized geometry
# D(E_F), states/eV/cell: 4.3
# E, eV per atom: -4.870
# Space-group type: R-3m (166)
data_CaAcPd4Pb2
_cell_length_a 4.821
_cell_length_b 4.821
_cell_length_c 9.504
_cell_angle_alpha 75.31
_cell_angle_beta 75.31
_cell_angle_gamma 60.00
_space_group_name_H-M_alt 'P 1'
_space_group_IT_number 1
loop_
_space_group_symop_operation_xyz
'x,y,z'
loop_
_atom_site_label
_atom_site_fract_x
_atom_site_fract_y
_atom_site_fract_z
Pb1 0.241 0.241 0.278
Pb2 0.759 0.759 0.722
Pd1 0.116 0.116 0.652
Pd2 0.606 0.606 0.182
Pd3 0.394 0.394 0.818
Pd4 0.884 0.884 0.348
Ca1 0.500 0.500 0.500
Ac1 0.000 0.000 0.000

# 9
# AcZnNiSn | the Alexandria database | GGA-PBE | optimized geometry
# D(E_F), states/eV/cell: 2.0
# E, eV per atom: -4.044
# Space-group type: F-43m (216)
data_AcZnNiSn
_cell_length_a 5.017
_cell_length_b 5.017
_cell_length_c 5.017
_cell_angle_alpha 60.00
_cell_angle_beta 60.00
_cell_angle_gamma 60.00
_space_group_name_H-M_alt 'P 1'
_space_group_IT_number 1
loop_
_space_group_symop_operation_xyz
'x,y,z'
loop_
_atom_site_label
_atom_site_fract_x
_atom_site_fract_y
_atom_site_fract_z
Ac1 0.750 0.750 0.750
Ni1 0.000 0.000 0.000
Zn1 0.500 0.500 0.500
Sn1 0.250 0.250 0.250

# 10
# CaCeTl2 | the Alexandria database | GGA-PBE | optimized geometry
# D(E_F), states/eV/cell: 7.2
# E, eV per atom: -3.347
# Space-group type: R-3m (166)
data_CaCeTl2
_cell_length_a 3.675
_cell_length_b 3.675
_cell_length_c 10.702
_cell_angle_alpha 80.11
_cell_angle_beta 80.11
_cell_angle_gamma 60.00
_space_group_name_H-M_alt 'P 1'
_space_group_IT_number 1
loop_
_space_group_symop_operation_xyz
'x,y,z'
loop_
_atom_site_label
_atom_site_fract_x
_atom_site_fract_y
_atom_site_fract_z
Ca1 0.500 0.500 0.500
Ce1 0.000 0.000 0.000
Tl1 0.248 0.248 0.255
Tl2 0.752 0.752 0.745

# 11
# Pm5Ge2Pd2 | the Alexandria database | GGA-PBE | optimized geometry
# D(E_F), states/eV/cell: 15.0
# E, eV per atom: -5.441
# Space-group type: Ima2 (46)
data_Pm5Ge2Pd2
_cell_length_a 6.750
_cell_length_b 7.854
_cell_length_c 10.432
_cell_angle_alpha 112.12
_cell_angle_beta 108.88
_cell_angle_gamma 90.00
_space_group_name_H-M_alt 'P 1'
_space_group_IT_number 1
loop_
_space_group_symop_operation_xyz
'x,y,z'
loop_
_atom_site_label
_atom_site_fract_x
_atom_site_fract_y
_atom_site_fract_z
Pm1 0.242 0.649 0.844
Pm2 0.685 0.698 0.694
Pm3 0.102 0.149 0.844
Pm4 0.491 0.504 0.306
Pm5 0.509 0.198 0.694
Pm6 0.882 0.254 0.500
Pm7 0.898 0.305 0.156
Pm8 0.315 0.004 0.306
Pm9 0.118 0.754 0.500
Pm10 0.758 0.805 0.156
Pd1 0.857 0.475 0.861
Pd2 0.504 0.975 0.861
Pd3 0.143 0.614 0.139
Pd4 0.496 0.114 0.139
Ge1 0.500 0.431 0.000
Ge2 0.000 0.931 0.000
Ge3 0.288 0.406 0.500
Ge4 0.712 0.906 0.500

# 12
# LiPrTmSn | the Alexandria database | GGA-PBE | optimized geometry
# D(E_F), states/eV/cell: 2.5
# E, eV per atom: -4.195
# Space-group type: F-43m (216)
data_LiPrTmSn
_cell_length_a 5.290
_cell_length_b 5.290
_cell_length_c 5.290
_cell_angle_alpha 60.00
_cell_angle_beta 60.00
_cell_angle_gamma 60.00
_space_group_name_H-M_alt 'P 1'
_space_group_IT_number 1
loop_
_space_group_symop_operation_xyz
'x,y,z'
loop_
_atom_site_label
_atom_site_fract_x
_atom_site_fract_y
_atom_site_fract_z
Li1 0.750 0.750 0.750
Pr1 0.500 0.500 0.500
Sn1 0.250 0.250 0.250
Tm1 0.000 0.000 0.000

# 13
# AlAsBr2O | the Alexandria database | GGA-PBE | optimized geometry
# D(E_F), states/eV/cell: 6.9
# Space-group type: P4/mmm (123)
# Formation energy from raw total energies, kJ per mole of atoms: 52
data_AlAsBr2O
_cell_length_a 4.810
_cell_length_b 4.810
_cell_length_c 5.211
_cell_angle_alpha 90.00
_cell_angle_beta 90.00
_cell_angle_gamma 90.00
_space_group_name_H-M_alt 'P 1'
_space_group_IT_number 1
loop_
_space_group_symop_operation_xyz
'x,y,z'
loop_
_atom_site_label
_atom_site_fract_x
_atom_site_fract_y
_atom_site_fract_z
As1 0.000 0.000 0.500
Al1 0.000 0.000 0.000
O1 0.500 0.500 0.500
Br1 0.000 0.500 0.000
Br2 0.500 0.000 0.000

# 14
# RbCdRuCl6 | the Alexandria database | GGA-PBE | optimized geometry
# D(E_F), states/eV/cell: 7.9
# Space-group type: P312 (149)
# Formation energy from raw total energies, kJ per mole of atoms: -100
data_RbCdRuCl6
_cell_length_a 6.660
_cell_length_b 6.660
_cell_length_c 7.245
_cell_angle_alpha 90.00
_cell_angle_beta 90.00
_cell_angle_gamma 60.00
_space_group_name_H-M_alt 'P 1'
_space_group_IT_number 1
loop_
_space_group_symop_operation_xyz
'x,y,z'
loop_
_atom_site_label
_atom_site_fract_x
_atom_site_fract_y
_atom_site_fract_z
Cl1 0.384 0.966 0.690
Cl2 0.966 0.384 0.310
Cl3 0.384 0.649 0.310
Cl4 0.649 0.966 0.310
Cl5 0.649 0.384 0.690
Cl6 0.966 0.649 0.690
Rb1 0.000 0.000 0.000
Ru1 0.667 0.667 0.500
Cd1 0.333 0.333 0.500

# 15
# BaTcBr2 | the Alexandria database | GGA-PBE | optimized geometry
# D(E_F), states/eV/cell: 1.1
# Space-group type: Cm (8)
# Formation energy from raw total energies, kJ per mole of atoms: -26
data_BaTcBr2
_cell_length_a 6.536
_cell_length_b 6.536
_cell_length_c 5.567
_cell_angle_alpha 89.70
_cell_angle_beta 89.70
_cell_angle_gamma 35.30
_space_group_name_H-M_alt 'P 1'
_space_group_IT_number 1
loop_
_space_group_symop_operation_xyz
'x,y,z'
loop_
_atom_site_label
_atom_site_fract_x
_atom_site_fract_y
_atom_site_fract_z
Ba1 0.241 0.241 0.172
Br1 0.735 0.735 0.686
Br2 0.964 0.964 0.191
Tc1 0.560 0.560 0.451

# 16
# SrSiHg2Au | the Alexandria database | GGA-PBE | optimized geometry
# D(E_F), states/eV/cell: 3.4
# Space-group type: P4/mmm (123)
# Formation energy from raw total energies, kJ per mole of atoms: -16
data_SrSiHg2Au
_cell_length_a 5.190
_cell_length_b 5.190
_cell_length_c 4.913
_cell_angle_alpha 90.00
_cell_angle_beta 90.00
_cell_angle_gamma 90.00
_space_group_name_H-M_alt 'P 1'
_space_group_IT_number 1
loop_
_space_group_symop_operation_xyz
'x,y,z'
loop_
_atom_site_label
_atom_site_fract_x
_atom_site_fract_y
_atom_site_fract_z
Sr1 0.500 0.500 0.500
Au1 0.000 0.000 0.500
Si1 0.000 0.000 0.000
Hg1 0.000 0.500 0.000
Hg2 0.500 0.000 0.000

# 17
# Ag3Cl8 | the Alexandria database | GGA-PBE | optimized geometry
# D(E_F), states/eV/cell: 6.7
# Space-group type: P-1 (2)
# Formation energy from raw total energies, kJ per mole of atoms: -21
data_Ag3Cl8
_cell_length_a 8.053
_cell_length_b 7.517
_cell_length_c 7.107
_cell_angle_alpha 73.08
_cell_angle_beta 60.06
_cell_angle_gamma 68.77
_space_group_name_H-M_alt 'P 1'
_space_group_IT_number 1
loop_
_space_group_symop_operation_xyz
'x,y,z'
loop_
_atom_site_label
_atom_site_fract_x
_atom_site_fract_y
_atom_site_fract_z
Cl1 0.439 0.074 0.834
Cl2 0.032 0.914 0.393
Cl3 0.394 0.343 0.400
Cl4 0.968 0.086 0.607
Cl5 0.856 0.381 0.897
Cl6 0.144 0.619 0.103
Cl7 0.606 0.657 0.600
Cl8 0.561 0.926 0.166
Ag1 0.000 0.500 0.500
Ag2 0.500 0.500 0.000
Ag3 0.500 0.000 0.500

# 18
# Ba6Rh2Br | the Alexandria database | GGA-PBE | optimized geometry
# D(E_F), states/eV/cell: 8.3
# Space-group type: C2/m (12)
# Formation energy from raw total energies, kJ per mole of atoms: -41
data_Ba6Rh2Br
_cell_length_a 6.150
_cell_length_b 8.055
_cell_length_c 10.576
_cell_angle_alpha 114.44
_cell_angle_beta 90.00
_cell_angle_gamma 112.44
_space_group_name_H-M_alt 'P 1'
_space_group_IT_number 1
loop_
_space_group_symop_operation_xyz
'x,y,z'
loop_
_atom_site_label
_atom_site_fract_x
_atom_site_fract_y
_atom_site_fract_z
Ba1 0.016 0.032 0.199
Ba2 0.339 0.678 0.392
Ba3 0.984 0.968 0.801
Ba4 0.682 0.364 0.065
Ba5 0.318 0.636 0.935
Ba6 0.661 0.322 0.608
Rh1 0.183 0.365 0.106
Rh2 0.817 0.635 0.894
Br1 0.000 0.000 0.500

# 19
# PaBe2Pt2 | the Alexandria database | GGA-PBE | optimized geometry
# D(E_F), states/eV/cell: 9.9
# E, eV per atom: -6.571
# Space-group type: P4/nmm (129)
data_PaBe2Pt2
_cell_length_a 3.994
_cell_length_b 3.994
_cell_length_c 9.640
_cell_angle_alpha 90.00
_cell_angle_beta 90.00
_cell_angle_gamma 90.00
_space_group_name_H-M_alt 'P 1'
_space_group_IT_number 1
loop_
_space_group_symop_operation_xyz
'x,y,z'
loop_
_atom_site_label
_atom_site_fract_x
_atom_site_fract_y
_atom_site_fract_z
Be1 0.500 0.500 0.000
Be2 0.500 0.000 0.628
Be3 0.000 0.500 0.372
Be4 0.000 0.000 0.000
Pt1 0.000 0.500 0.130
Pt2 0.500 0.500 0.500
Pt3 0.500 0.000 0.870
Pt4 0.000 0.000 0.500
Pa1 0.000 0.500 0.757
Pa2 0.500 0.000 0.243

# 20
# DyTm2PuO8 | the Alexandria database | GGA-PBE | optimized geometry
# Space-group type: Cmmm (65)
# Formation energy from raw total energies, kJ per mole of atoms: -301
data_DyTm2PuO8
_cell_length_a 5.046
_cell_length_b 5.039
_cell_length_c 6.907
_cell_angle_alpha 90.00
_cell_angle_beta 90.00
_cell_angle_gamma 90.75
_space_group_name_H-M_alt 'P 1'
_space_group_IT_number 1
loop_
_space_group_symop_operation_xyz
'x,y,z'
loop_
_atom_site_label
_atom_site_fract_x
_atom_site_fract_y
_atom_site_fract_z
O1 0.186 0.813 0.222
O2 0.814 0.187 0.222
O3 0.690 0.690 0.500
O4 0.186 0.813 0.778
O5 0.814 0.187 0.778
O6 0.310 0.310 0.500
O7 0.283 0.283 0.000
O8 0.717 0.717 0.000
Pu1 0.000 0.000 0.000
Tm1 0.500 0.500 0.260
Tm2 0.500 0.500 0.740
Dy1 0.000 0.000 0.500